{
  "formula": "PmSiHgO4",
  "functional": "PBE-GGA",
  "state": "relaxed",
  "vol_a3_per_atom": 17.72,
  "sg": "C2/m, No. 12",
  "formation_energy_uncorrected_ev_per_atom": -2.489,
  "lattice_angstrom": [[-5.160, 2.452, -3.279], [-6.155, -2.203, 0.805], [-2.335, 4.603, 4.677]],
  "species": ["Pm", "Pm", "Si", "Si", "Hg", "Hg", "O", "O", "O", "O", "O", "O", "O", "O"],
  "frac_coords": [[0.304, 0.304, 0.849], [0.696, 0.696, 0.151], [0.636, 0.636, 0.735], [0.364, 0.364, 0.265], [0.891, 0.891, 0.491], [0.109, 0.109, 0.509], [0.295, 0.295, 0.500], [0.705, 0.705, 0.500], [0.113, 0.520, 0.149], [0.504, 0.504, 0.255], [0.480, 0.887, 0.851], [0.520, 0.113, 0.149], [0.496, 0.496, 0.745], [0.887, 0.480, 0.851]]
}